1.
Entry from Alexandria via LeMat-Bulk: an optimized crystal structure of Eu3Cu5Se12 (PBE).

Cell and atoms, written as extended XYZ:
```
80
Lattice="-7.817 7.817 7.817 7.817 -7.817 7.817 7.817 7.817 -7.817" Properties=species:S:1:pos:R:3 pbc="T T T"
Eu 3.908 1.954 0.000
Eu 7.817 3.908 -1.954
Eu 1.954 0.000 3.908
Eu 9.771 0.000 3.908
Eu 0.000 3.908 1.954
Eu 3.908 -1.954 7.817
Eu 3.908 9.771 0.000
Eu 7.817 3.908 5.862
Eu -1.954 7.817 3.908
Eu 5.862 7.817 3.908
Eu 0.000 3.908 9.771
Eu 3.908 5.862 7.817
Cu 0.000 0.000 0.000
Cu 3.908 3.908 -3.908
Cu 3.908 -3.908 3.908
Cu 7.817 0.000 0.000
Cu 11.725 1.954 0.000
Cu 7.817 -3.908 5.862
Cu 5.862 7.817 -3.908
Cu 5.862 0.000 3.908
Cu 3.908 5.862 0.000
Cu 7.817 3.908 1.954
Cu -3.908 3.908 3.908
Cu 0.000 7.817 0.000
Cu 0.000 0.000 7.817
Cu 3.908 3.908 3.908
Cu 0.000 3.908 5.862
Cu 3.908 1.954 7.817
Cu 1.954 7.817 3.908
Cu 1.954 0.000 11.725
Cu 0.000 11.725 1.954
Cu -3.908 5.862 7.817
Se 2.290 -0.449 0.889
Se 9.434 4.797 -4.357
Se 10.107 0.449 0.889
Se 9.434 -3.019 4.357
Se 7.367 -0.889 2.290
Se 12.174 -1.618 3.019
Se 0.889 2.290 -0.449
Se 10.836 3.459 -1.618
Se 4.797 4.357 -1.618
Se 6.928 2.290 0.449
Se -0.449 0.889 2.290
Se 4.357 -1.618 4.797
Se 7.367 6.928 -2.290
Se 4.357 1.618 3.019
Se 4.797 -4.357 9.434
Se 6.928 -2.290 7.367
Se 3.019 4.357 1.618
Se 8.705 5.526 0.449
Se 4.357 9.434 -3.019
Se 7.367 0.889 5.526
Se 2.290 7.367 -0.889
Se 9.434 3.019 3.459
Se 1.618 3.019 4.357
Se 2.290 0.449 6.928
Se 5.526 7.367 0.889
Se 6.199 4.797 3.459
Se -1.618 4.797 4.357
Se 5.526 0.449 8.705
Se 0.449 6.928 2.290
Se 3.459 -1.618 10.836
Se -0.889 2.290 7.367
Se 4.797 3.459 6.199
Se 0.889 10.107 0.449
Se 3.019 12.174 -1.618
Se 3.459 6.199 4.797
Se 0.449 0.889 10.107
Se 3.459 9.434 3.019
Se 8.266 6.928 5.526
Se 0.889 5.526 7.367
Se 3.019 3.459 9.434
Se -3.019 4.357 9.434
Se 6.928 5.526 8.266
Se -4.357 9.434 4.797
Se 0.449 8.705 5.526
Se -1.618 10.836 3.459
Se -2.290 7.367 6.928
Se -1.618 3.019 12.174
Se 5.526 8.266 6.928
```

## Properties
The formation energy (no corrections) is -10.4 eV per formula unit. Its space group is Ia-3d (230). The calculation puts the density of states at the Fermi level at 85.1 states/eV per cell.


2.
Entry from Alexandria via LeMat-Bulk: an optimized crystal structure of Ca2SnHgN (PBE).

Cell and atoms, written as extended XYZ:
```
5
Lattice="4.904 0.000 0.000 0.000 4.904 0.000 0.000 0.000 4.669" Properties=species:S:1:pos:R:3 pbc="T T T"
Ca 0.000 2.452 0.000
Ca 2.452 0.000 0.000
Sn 0.000 0.000 2.334
Hg 2.452 2.452 2.334
N 0.000 0.000 0.000
```

## Properties
The formation energy (no corrections) is -2.4 eV per formula unit. Its space group is P4/mmm (123). The calculation puts the density of states at the Fermi level at 2.6 states/eV per cell.